(1)
Density functional theory data (PBE with a Hubbard U) for a geometry-optimized Mn3Co3Cu2O16 structure. Values from VASP.

Cell and atoms, written as Quantum ESPRESSO input:
```
&SYSTEM
  ibrav = 0, nat = 24, ntyp = 4
/
ATOMIC_SPECIES
Mn 54.94 Mn.upf
Co 58.93 Co.upf
Cu 63.55 Cu.upf
O 16.00 O.upf
CELL_PARAMETERS angstrom
5.698 0.000 0.000
-2.848 4.935 0.000
-0.345 -0.208 8.906
ATOMIC_POSITIONS crystal
Mn 0.000 0.000 0.000
Mn 0.000 0.495 0.000
Mn 0.821 0.659 0.501
Co 0.326 0.162 0.495
Co 0.326 0.661 0.495
Co 0.500 0.997 0.994
Cu 0.499 0.498 0.774
Cu 0.835 0.166 0.275
O 0.145 0.320 0.124
O 0.169 0.833 0.605
O 0.177 0.836 0.106
O 0.212 0.354 0.621
O 0.332 0.157 0.893
O 0.332 0.670 0.893
O 0.478 0.987 0.398
O 0.485 0.490 0.389
O 0.640 0.344 0.623
O 0.640 0.794 0.623
O 0.690 0.308 0.125
O 0.690 0.877 0.125
O 0.826 0.160 0.888
O 0.837 0.666 0.886
O 0.995 0.497 0.392
O 0.995 0.995 0.393
```

The calculation puts the density at 4.8 g cm⁻³. The final energy comes out at -5.955 eV per atom. For the density of states at the Fermi level, the calculation gives 6.08 states/eV per cell. The symmetry is P1 (1).


(2)
Density functional theory data (PBE with a Hubbard U) for a geometry-optimized Mn4CoCuO8 structure. Values from VASP.

Cell and atoms, written as Quantum ESPRESSO input:
```
&SYSTEM
  ibrav = 0, nat = 14, ntyp = 4
/
ATOMIC_SPECIES
Mn 54.94 Mn.upf
Co 58.93 Co.upf
Cu 63.55 Cu.upf
O 16.00 O.upf
CELL_PARAMETERS angstrom
3.018 1.743 4.863
-3.018 1.743 4.863
0.000 -3.485 4.863
ATOMIC_POSITIONS crystal
Mn 0.000 0.000 0.000
Mn 0.128 0.626 0.626
Mn 0.626 0.128 0.626
Mn 0.626 0.626 0.128
Co 0.626 0.626 0.626
Cu 0.252 0.252 0.252
O 0.390 0.390 0.390
O 0.394 0.394 0.844
O 0.394 0.844 0.394
O 0.413 0.856 0.856
O 0.844 0.394 0.394
O 0.856 0.413 0.856
O 0.856 0.856 0.413
O 0.861 0.861 0.861
```

The calculation puts the density at 5.1 g cm⁻³. The final energy comes out at -6.951 eV per atom. For the density of states at the Fermi level, the calculation gives 5.43 states/eV per cell. The symmetry is R3m (160).